No. 1
VASP calculation (PBE-GGA) on a relaxed structure of SrTbPm4Se8.

For the calculated total energy, the calculation gives -5.60 eV/atom. Its calculated volume is 1392.3 Å³ per cell.

The structure belongs to space group R3m (No. 160, hexagonal axes); the cell edges are 8.7105, 8.7105 and 21.1885 Å and the angles 90.00°, 90.00° and 120.00°. The inequivalent atoms are Sr at (0.0000, 0.0000, 0.0000), Tb at (0.0000, 0.0000, 0.6262), Pm at (0.0000, 0.0000, 0.2486), Pm at (0.1690, 0.3381, 0.4570), Se at (0.0000, 0.0000, 0.3816), Se at (0.0000, 0.0000, 0.8623), Se at (0.0357, 0.5178, 0.3764) and Se at (0.1790, 0.3580, 0.2067).

=====

No. 2
VASP calculation (PBE-GGA) on a relaxed structure of Li2LaEr2Pb2.

For the calculated total energy, the calculation gives -3.96 eV/atom. Its calculated volume is 562.6 Å³ per cell. The energy of formation comes out at -0.34 eV/atom.

The structure belongs to space group R-3m (No. 166, hexagonal axes); the cell edges are 4.8941, 4.8941 and 27.1239 Å and the angles 90.00°, 90.00° and 120.00°. The inequivalent atoms are Li at (0.0000, 0.0000, 0.0806), La at (0.0000, 0.0000, 0.5000), Er at (0.0000, 0.0000, 0.3683) and Pb at (0.0000, 0.0000, 0.2411).

=====

No. 3
VASP calculation (PBE-GGA) on a relaxed structure of CaSi2IrRh.

For the calculated total energy, the calculation gives -6.77 eV/atom. Its calculated volume is 169.2 Å³ per cell.

The structure belongs to space group I-4m2 (No. 119); the cell edges are 4.1094, 4.1094 and 10.0218 Å and the angles 90.00°, 90.00° and 90.00°. The inequivalent atoms are Ca at (0.0000, 0.0000, 0.0000), Si at (0.0000, 0.0000, 0.3742), Ir at (0.0000, 0.5000, 0.2500) and Rh at (0.0000, 0.5000, 0.7500).

=====

No. 4
VASP calculation (PBE-GGA) on a relaxed structure of Sb5Cl4.

For the calculated total energy, the calculation gives -3.25 eV/atom. Its calculated volume is 510.6 Å³ per cell.

The structure belongs to space group P6_3/mcm (No. 193); the cell edges are 8.6736, 8.6736 and 7.8370 Å and the angles 90.00°, 90.00° and 120.00°. The inequivalent atoms are Sb at (0.0000, 0.4447, 0.2500), Sb at (0.3333, 0.6667, 0.0000), Cl at (0.0000, 0.0000, 0.0000) and Cl at (0.0000, 0.2773, 0.7500).

=====

No. 5
VASP calculation (PBE-GGA) on a relaxed structure of NbNiSN2.

For the calculated total energy, the calculation gives -6.46 eV/atom. Its calculated volume is 59.4 Å³ per cell. Its offset from the most stable computed form is 0.243 eV/atom.

The structure belongs to space group P4/mmm (No. 123); the cell edges are 3.7310, 3.7310 and 4.2677 Å and the angles 90.00°, 90.00° and 90.00°. The inequivalent atoms are Nb at (0.0000, 0.0000, 0.0000), Ni at (0.5000, 0.5000, 0.5000), S at (0.5000, 0.5000, 0.0000) and N at (0.0000, 0.5000, 0.5000).

=====

No. 6
VASP calculation (PBE-GGA) on a relaxed structure of Ag5AsSe4.

For the calculated total energy, the calculation gives -3.27 eV/atom. Its calculated volume is 459.7 Å³ per cell. Its offset from the most stable computed form is 0.063 eV/atom.

The structure belongs to space group Immm (No. 71); the cell edges are 4.0881, 7.5848 and 14.8262 Å and the angles 90.00°, 90.00° and 90.00°. The inequivalent atoms are Ag at (0.0000, 0.0000, 0.0000), Ag at (0.0000, 0.2593, 0.3186), As at (0.0000, 0.5000, 0.0000), Se at (0.0000, 0.2522, 0.5000) and Se at (0.0000, 0.5000, 0.1865).

=====

No. 7
VASP calculation (PBE-GGA) on a relaxed structure of Sm8AgBi2.

For the calculated total energy, the calculation gives -4.68 eV/atom. Its calculated volume is 697.9 Å³ per cell. The energy of formation comes out at -0.28 eV/atom.

The structure belongs to space group C2/m (No. 12); the cell edges are 19.3802, 5.0390 and 7.2225 Å and the angles 90.00°, 98.33° and 90.00°. The inequivalent atoms are Sm at (0.0053, 0.0000, 0.2631), Sm at (0.0930, 0.5000, 0.0008), Sm at (0.1548, 0.5000, 0.5382), Sm at (0.2145, 0.0000, 0.8493), Ag at (0.0000, 0.5000, 0.5000) and Bi at (0.1796, 0.0000, 0.2812).

=====

No. 8
VASP calculation (PBE-GGA) on a relaxed structure of Ce2BeAs.

For the calculated total energy, the calculation gives -4.80 eV/atom. Its calculated volume is 369.5 Å³ per cell. The energy of formation comes out at 0.26 eV/atom.

The structure belongs to space group R-3m (No. 166, hexagonal axes); the cell edges are 3.8587, 3.8587 and 28.6527 Å and the angles 90.00°, 90.00° and 120.00°. The inequivalent atoms are Ce at (0.0000, 0.0000, 0.1031), Be at (0.0000, 0.0000, 0.0000) and As at (0.0000, 0.0000, 0.5000).

=====

No. 9
VASP calculation (PBE-GGA) on a relaxed structure of Co5P3.

For the calculated total energy, the calculation gives -6.85 eV/atom. Its calculated volume is 175.4 Å³ per cell. The energy of formation comes out at -0.38 eV/atom. Its offset from the most stable computed form is 0.090 eV/atom.

The structure belongs to space group P6_3/mcm (No. 193); the cell edges are 6.4646, 6.4646 and 4.8466 Å and the angles 90.00°, 90.00° and 120.00°. The inequivalent atoms are Co at (0.0000, 0.2789, 0.2500), Co at (0.3333, 0.6667, 0.0000) and P at (0.0000, 0.3783, 0.7500).

=====

No. 10
VASP calculation (PBE-GGA) on a relaxed structure of CuTc.

For the calculated total energy, the calculation gives -6.81 eV/atom. Its calculated volume is 173.4 Å³ per cell. The energy of formation comes out at 0.42 eV/atom. Its offset from the most stable computed form is 0.331 eV/atom.

The structure belongs to space group P6_3/m (No. 176); the cell edges are 8.8629, 8.8629 and 2.5496 Å and the angles 90.00°, 90.00° and 120.00°. The inequivalent atoms are Cu at (0.0500, 0.2728, 0.2500) and Tc at (0.1473, 0.6176, 0.2500).

=====

No. 11
VASP calculation (PBE-GGA) on a relaxed structure of DyPaGaIr.

For the calculated total energy, the calculation gives -6.95 eV/atom. Its calculated volume is 346.0 Å³ per cell. The energy of formation comes out at -0.46 eV/atom.

The structure belongs to space group F-43m (No. 216); the cell edges are 7.0202, 7.0202 and 7.0202 Å and the angles 90.00°, 90.00° and 90.00°. The inequivalent atoms are Dy at (0.0000, 0.0000, 0.0000), Pa at (0.0000, 0.0000, 0.5000), Ga at (0.2500, 0.2500, 0.7500) and Ir at (0.2500, 0.2500, 0.2500).

=====

No. 12
VASP calculation (PBE-GGA) on a relaxed structure of AgOsW2.

For the calculated total energy, the calculation gives -9.40 eV/atom. Its calculated volume is 130.8 Å³ per cell. The energy of formation comes out at 0.59 eV/atom. Its offset from the most stable computed form is 0.233 eV/atom.

The structure belongs to space group Imm2 (No. 44); the cell edges are 2.9802, 4.6510 and 9.4380 Å and the angles 90.00°, 90.00° and 90.00°. The inequivalent atoms are Ag at (0.0000, 0.0000, 0.0000), Os at (0.0000, 0.5000, 0.7626), W at (0.0000, 0.0000, 0.4851) and W at (0.0000, 0.5000, 0.2229).

=====

No. 13
VASP calculation (PBE-GGA) on a relaxed structure of PuInNiPd.

For the calculated total energy, the calculation gives -7.27 eV/atom. Its calculated volume is 306.0 Å³ per cell. The energy of formation comes out at -0.26 eV/atom.

The structure belongs to space group F-43m (No. 216); the cell edges are 6.7390, 6.7390 and 6.7390 Å and the angles 90.00°, 90.00° and 90.00°. The inequivalent atoms are Pu at (0.0000, 0.0000, 0.0000), In at (0.0000, 0.0000, 0.5000), Ni at (0.2500, 0.2500, 0.7500) and Pd at (0.2500, 0.2500, 0.2500).

=====

No. 14
VASP calculation (PBE-GGA) on a relaxed structure of Dy8YHo4.

For the calculated total energy, the calculation gives -4.52 eV/atom. Its calculated volume is 1241.2 Å³ per cell. The energy of formation comes out at 0.22 eV/atom.

The structure belongs to space group R-3m (No. 166, hexagonal axes); the cell edges are 7.2520, 7.2520 and 27.2508 Å and the angles 90.00°, 90.00° and 120.00°. The inequivalent atoms are Dy at (0.0000, 0.0000, 0.2160), Dy at (0.0362, 0.5181, 0.7670), Y at (0.0000, 0.0000, 0.5000), Ho at (0.0000, 0.0000, 0.0000) and Ho at (0.0000, 0.5000, 0.0000).

=====

No. 15
VASP calculation (PBE-GGA) on a relaxed structure of CsMg3Te.

For the calculated total energy, the calculation gives -1.49 eV/atom. Its calculated volume is 213.4 Å³ per cell. Its offset from the most stable computed form is 0.000 eV/atom.

The structure belongs to space group Pm-3m (No. 221); the cell edges are 5.9761, 5.9761 and 5.9761 Å and the angles 90.00°, 90.00° and 90.00°. The inequivalent atoms are Cs at (0.0000, 0.0000, 0.0000), Mg at (0.0000, 0.5000, 0.5000) and Te at (0.5000, 0.5000, 0.5000).

=====

No. 16
VASP calculation (PBE-GGA) on a relaxed structure of Re3SbPb.

For the calculated total energy, the calculation gives -6.65 eV/atom. Its calculated volume is 119.3 Å³ per cell. Its offset from the most stable computed form is 0.000 eV/atom.

The structure belongs to space group Pm-3m (No. 221); the cell edges are 4.9229, 4.9229 and 4.9229 Å and the angles 90.00°, 90.00° and 90.00°. The inequivalent atoms are Re at (0.0000, 0.0000, 0.5000), Sb at (0.0000, 0.0000, 0.0000) and Pb at (0.5000, 0.5000, 0.5000).

=====

No. 17
VASP calculation (PBE-GGA) on a relaxed structure of Ho2ErThAs4.

For the calculated total energy, the calculation gives -6.47 eV/atom. Its calculated volume is 200.3 Å³ per cell. The energy of formation comes out at -1.50 eV/atom.

The structure belongs to space group P2/m (No. 10); the cell edges are 7.1584, 4.1454 and 7.1616 Å and the angles 90.00°, 109.48° and 90.00°. The inequivalent atoms are Ho at (0.0000, 0.0000, 0.0000), Ho at (0.5000, 0.5000, 0.0000), Er at (0.0000, 0.5000, 0.5000), Th at (0.5000, 0.0000, 0.5000), As at (0.2432, 0.5000, 0.2441) and As at (0.2466, 0.0000, 0.7519).

=====

No. 18
VASP calculation (PBE-GGA) on a relaxed structure of SrAuSe2.

For the calculated total energy, the calculation gives -3.75 eV/atom. Its calculated volume is 309.5 Å³ per cell. Its offset from the most stable computed form is 0.196 eV/atom.

The structure belongs to space group R-3m (No. 166, hexagonal axes); the cell edges are 4.3684, 4.3684 and 18.7248 Å and the angles 90.00°, 90.00° and 120.00°. The inequivalent atoms are Sr at (0.0000, 0.0000, 0.0000), Au at (0.0000, 0.0000, 0.5000) and Se at (0.0000, 0.0000, 0.2360).

=====

No. 19
VASP calculation (PBE-GGA) on a relaxed structure of KOsBr5.

For the calculated total energy, the calculation gives -3.47 eV/atom. Its calculated volume is 1023.8 Å³ per cell.

The structure belongs to space group C2/c (No. 15); the cell edges are 14.5359, 7.8171 and 9.6116 Å and the angles 90.00°, 110.38° and 90.00°. The inequivalent atoms are K at (0.0000, 0.0277, 0.2500), Os at (0.0000, 0.5000, 0.0000), Br at (0.0000, 0.3934, 0.7500), Br at (0.1285, 0.2773, 0.5273) and Br at (0.1318, 0.2840, 0.1107).

=====

No. 20
VASP calculation (PBE-GGA) on a relaxed structure of AlTe2NCl.

For the calculated total energy, the calculation gives -2.78 eV/atom. Its calculated volume is 130.5 Å³ per cell. Its offset from the most stable computed form is 0.918 eV/atom.

The structure belongs to space group P4/mmm (No. 123); the cell edges are 6.3228, 6.3228 and 3.2642 Å and the angles 90.00°, 90.00° and 90.00°. The inequivalent atoms are Al at (0.0000, 0.0000, 0.0000), Te at (0.0000, 0.5000, 0.5000), N at (0.5000, 0.5000, 0.0000) and Cl at (0.5000, 0.5000, 0.5000).

=====

No. 21
VASP calculation (PBE-GGA) on a relaxed structure of MnCuSCl2.

For the calculated total energy, the calculation gives -4.18 eV/atom. Its calculated volume is 100.9 Å³ per cell. Its offset from the most stable computed form is 0.082 eV/atom.

The structure belongs to space group P4/mmm (No. 123); the cell edges are 4.5502, 4.5502 and 4.8746 Å and the angles 90.00°, 90.00° and 90.00°. The inequivalent atoms are Mn at (0.0000, 0.0000, 0.0000), Cu at (0.5000, 0.5000, 0.5000), S at (0.5000, 0.5000, 0.0000) and Cl at (0.0000, 0.5000, 0.5000).

=====

No. 22
VASP calculation (PBE-GGA) on a relaxed structure of TaIrOsPt.

For the calculated total energy, the calculation gives -10.01 eV/atom. Its calculated volume is 61.2 Å³ per cell. The energy of formation comes out at -0.52 eV/atom.

The structure belongs to space group Pmmm (No. 47); the cell edges are 3.8700, 3.9269 and 4.0241 Å and the angles 90.00°, 90.00° and 90.00°. The inequivalent atoms are Ta at (0.0000, 0.0000, 0.0000), Ir at (0.5000, 0.0000, 0.5000), Os at (0.5000, 0.5000, 0.0000) and Pt at (0.0000, 0.5000, 0.5000).

=====

No. 23
VASP calculation (PBE-GGA) on a relaxed structure of SbAuF2.

For the calculated total energy, the calculation gives -3.79 eV/atom. Its calculated volume is 269.3 Å³ per cell. Its offset from the most stable computed form is 0.000 eV/atom.

The structure belongs to space group I-42d (No. 122); the cell edges are 4.0961, 4.0961 and 16.0499 Å and the angles 90.00°, 90.00° and 90.00°. The inequivalent atoms are Sb at (0.0000, 0.0000, 0.0000), Au at (0.0000, 0.0000, 0.5000) and F at (0.1787, 0.2500, 0.1250).

=====

No. 24
VASP calculation (PBE-GGA) on a relaxed structure of Ti4CdBi.

For the calculated total energy, the calculation gives -6.12 eV/atom. Its calculated volume is 226.8 Å³ per cell. The energy of formation comes out at -0.06 eV/atom.

The structure belongs to space group C2/m (No. 12); the cell edges are 4.8572, 9.6373 and 4.8446 Å and the angles 90.00°, 90.17° and 90.00°. The inequivalent atoms are Ti at (0.0000, 0.1746, 0.0000), Ti at (0.0000, 0.3234, 0.5000), Cd at (0.0000, 0.0000, 0.5000) and Bi at (0.0000, 0.5000, 0.0000).